A plane-wave DFT calculation with PBEsol was carried out for a relaxed structure of RuAuI2O.

Unit cell a=3.8421 b=5.5883 c=5.5883 alpha=90.00 beta=90.00 gamma=90.00
Last column: magnetic moment on the atom in μB.
Fractional positions:
I 0.0000 0.0000 0.5000  0.12
I 0.0000 0.5000 0.0000  0.12
Ru 0.5000 0.5000 0.5000  2.64
Au 0.0000 0.0000 0.0000  0.14
O 0.5000 0.0000 0.0000  0.31

Values from the calculation:
D(E_F)   5.7 states/eV/f.u.
Energy relative to the elements, uncorrected   97.0 kJ per mole of atoms
Total DFT energy (no corrections)   -3.570 eV per atom